PBE MnInAg, optimized geometry; energy = -4.729 eV/atom; SG = No. 107; ΔH_f (0 K) = 0.190 eV/atom
1.0
6.161 -0.039 0.042
5.401 2.964 0.024
0.760 0.209 2.995
Ag In Mn
1 1 1
Cartesian
11.461 2.900 0.093
8.027 2.036 1.024
4.395 1.123 2.009